A plane-wave DFT calculation with GGA-PBE was carried out for a relaxed Li2CuNi crystal.

DFT formation energy, meV/atom: -6
Offset from the most stable computed form, meV/atom: 6.4
SG: Cm

Cell lengths 2.5763, 2.5763, 8.6911 Å; angles 98.79, 98.79, 58.42 degrees
Last column: nearest neighbours and their distance in Å.
Fractional positions:
Li: 0.0000 0.0000 0.0000  6 Li 2.51-2.58, 3 Ni 2.52-2.55, 3 Cu 2.66
Li: 0.1636 0.1636 0.4824  6 Li 2.51-2.58, 3 Ni 2.52-2.55, 3 Cu 2.66-2.68
Cu: 0.5843 0.5843 0.7414  6 Cu 2.51-2.58, 6 Li 2.66-2.68
Ni: 0.7611 0.7611 0.2411  6 Ni 2.51-2.58, 6 Li 2.52-2.55